CaAlNi2 | GGA-PBEsol | optimized geometry Values from VASP.

```
&SYSTEM
  ibrav = 0, nat = 4, ntyp = 3
/
ATOMIC_SPECIES
Ca 40.08 Ca.upf
Al 26.98 Al.upf
Ni 58.69 Ni.upf
CELL_PARAMETERS angstrom
3.0021 0.0000 0.0000
0.0000 3.0021 0.0000
0.0000 0.0000 6.6309
ATOMIC_POSITIONS crystal
Ca 0.0000 0.0000 0.0000
Al 0.0000 0.0000 0.5000
Ni 0.5000 0.5000 0.3066
Ni 0.5000 0.5000 0.6934
```

Properties
space-group type: P4/mmm
total moment: 0.000 μB/cell
volume: 60 Å³/cell
total DFT energy (no corrections): -19.55 eV for the cell shown
DFT formation energy: -24.4 kJ per mole of atoms

***

Ca2AlNi | GGA-PBEsol | optimized geometry Values from VASP.

```
&SYSTEM
  ibrav = 0, nat = 4, ntyp = 3
/
ATOMIC_SPECIES
Ca 40.08 Ca.upf
Al 26.98 Al.upf
Ni 58.69 Ni.upf
CELL_PARAMETERS angstrom
0.0000 3.4077 3.4077
3.4077 0.0000 3.4077
3.4077 3.4077 0.0000
ATOMIC_POSITIONS crystal
Ca 0.0000 0.0000 0.0000
Ca 0.2500 0.2500 0.2500
Al 0.5000 0.5000 0.5000
Ni 0.7500 0.7500 0.7500
```

Properties
space-group type: F-43m
total moment: 0.001 μB/cell
volume: 79 Å³/cell
total DFT energy (no corrections): -14.42 eV for the cell shown
DFT formation energy: 2.4 kJ per mole of atoms

***

CaAlNi | GGA-PBEsol | optimized geometry Values from VASP.

```
&SYSTEM
  ibrav = 0, nat = 3, ntyp = 3
/
ATOMIC_SPECIES
Ca 40.08 Ca.upf
Al 26.98 Al.upf
Ni 58.69 Ni.upf
CELL_PARAMETERS angstrom
-1.5759 1.5759 5.4040
1.5759 -1.5759 5.4040
1.5759 1.5759 -5.4040
ATOMIC_POSITIONS crystal
Ca 0.0000 0.0000 0.0000
Al 0.2820 0.2820 0.0000
Ni 0.6886 0.6886 0.0000
```

Properties
space-group type: I4mm
total moment: 0.000 μB/cell
volume: 54 Å³/cell
total DFT energy (no corrections): -13.15 eV for the cell shown
DFT formation energy: -24.6 kJ per mole of atoms

***

Ca2AlNiO5 | GGA-PBEsol | optimized geometry Values from VASP.

```
&SYSTEM
  ibrav = 0, nat = 18, ntyp = 4
/
ATOMIC_SPECIES
Ca 40.08 Ca.upf
Al 26.98 Al.upf
Ni 58.69 Ni.upf
O 16.00 O.upf
CELL_PARAMETERS angstrom
-6.9400 2.8043 2.6126
6.9400 -2.8043 2.6126
6.9400 2.8043 -2.6126
ATOMIC_POSITIONS crystal
Ca 0.0357 0.1056 0.1414
Ca 0.0357 0.3944 0.4301
Ca 0.9643 0.6056 0.5699
Ca 0.9643 0.8944 0.8586
Al 0.3761 0.7089 0.1673
Al 0.5416 0.2089 0.8327
Ni 0.5134 0.0134 0.5000
Ni 0.5134 0.5134 0.0000
O 0.0132 0.2733 0.7739
O 0.0132 0.7393 0.2398
O 0.2597 0.8712 0.8885
O 0.4647 0.1730 0.5754
O 0.4647 0.3893 0.7917
O 0.4994 0.2393 0.2261
O 0.4994 0.7733 0.7602
O 0.5976 0.6730 0.2083
O 0.5976 0.8893 0.4246
O 0.9827 0.3712 0.1115
```

Properties
space-group type: Ima2
total moment: 0.003 μB/cell
volume: 203 Å³/cell
total DFT energy (no corrections): -124.97 eV for the cell shown
formation energy from raw total energies: -2.41 eV/atom

***

CaAlNiO2 | GGA-PBEsol | optimized geometry Values from VASP.

```
&SYSTEM
  ibrav = 0, nat = 5, ntyp = 4
/
ATOMIC_SPECIES
Ca 40.08 Ca.upf
Al 26.98 Al.upf
Ni 58.69 Ni.upf
O 16.00 O.upf
CELL_PARAMETERS angstrom
3.5975 0.0000 0.0000
0.0000 3.5975 0.0000
0.0000 0.0000 6.6406
ATOMIC_POSITIONS crystal
Ca 0.0000 0.0000 0.0000
Al 0.0000 0.0000 0.5000
Ni 0.5000 0.5000 0.0000
O 0.0000 0.5000 0.5000
O 0.5000 0.0000 0.5000
```

Properties
space-group type: P4/mmm
total moment: 0.402 μB/cell
volume: 86 Å³/cell
total DFT energy (no corrections): -25.89 eV for the cell shown
formation energy from raw total energies: -0.60 eV/atom

***

Ca2Al2O5 | GGA-PBEsol | optimized geometry Values from VASP.

```
&SYSTEM
  ibrav = 0, nat = 18, ntyp = 3
/
ATOMIC_SPECIES
Ca 40.08 Ca.upf
Al 26.98 Al.upf
O 16.00 O.upf
CELL_PARAMETERS angstrom
-7.1730 2.7035 2.6144
7.1730 -2.7035 2.6144
7.1730 2.7035 -2.6144
ATOMIC_POSITIONS crystal
Ca 0.0248 0.1072 0.1320
Ca 0.0248 0.3928 0.4176
Ca 0.9752 0.6072 0.5824
Ca 0.9752 0.8928 0.8680
Al 0.3843 0.7081 0.1762
Al 0.5068 0.0068 0.5000
Al 0.5068 0.5068 0.0000
Al 0.5319 0.2081 0.8238
O 0.0081 0.2663 0.7635
O 0.0081 0.7446 0.2418
O 0.2551 0.8701 0.8849
O 0.4650 0.1635 0.5829
O 0.4650 0.3821 0.8015
O 0.5028 0.2446 0.2365
O 0.5028 0.7663 0.7582
O 0.5806 0.6635 0.1985
O 0.5806 0.8821 0.4171
O 0.9852 0.3701 0.1151
```

Properties
space-group type: Ima2
total moment: 0.000 μB/cell
volume: 203 Å³/cell
total DFT energy (no corrections): -132.81 eV for the cell shown
formation energy from raw total energies: -3.08 eV/atom